Computed, not measured: a relaxed Y2SbPb crystal at the PBE-GGA level of DFT.

Raw formation energy, eV/atom: -0.128
Energy above the most stable polymorph in this dataset, meV per atom: 714

extended XYZ file:
```
4
Lattice="0.000 3.859 3.859 3.859 0.000 3.859 3.859 3.859 0.000" Properties=species:S:1:pos:R:3 pbc="T T T"
Y 0.000 0.000 0.000
Y 1.930 1.930 1.930
Sb 3.859 3.859 3.859
Pb 5.789 5.789 5.789
```



Computed, not measured: a relaxed Y2SbPb crystal at the PBE-GGA level of DFT.

Raw formation energy, eV/atom: -0.666
Energy above the most stable polymorph in this dataset, meV per atom: 176

extended XYZ file:
```
4
Lattice="2.336 -2.907 0.000 2.336 2.907 0.000 0.000 0.000 8.431" Properties=species:S:1:pos:R:3 pbc="T T T"
Y 0.000 0.000 2.000
Y 0.000 0.000 6.431
Sb 2.336 0.000 0.000
Pb 2.336 0.000 4.215
```



Computed, not measured: a relaxed Y2SbPb crystal at the PBE-GGA level of DFT.

Raw formation energy, eV/atom: -0.737
Energy above the most stable polymorph in this dataset, meV per atom: 105

extended XYZ file:
```
4
Lattice="5.868 -2.143 0.000 5.868 2.143 0.000 -0.237 0.000 4.575" Properties=species:S:1:pos:R:3 pbc="T T T"
Y 0.000 0.000 0.000
Y 8.642 0.000 2.272
Sb 3.134 0.000 0.004
Pb 5.545 0.000 2.281
```



Computed, not measured: a relaxed YSb2Pb crystal at the PBE-GGA level of DFT.

Raw formation energy, eV/atom: -0.436

extended XYZ file:
```
4
Lattice="-2.258 2.259 5.540 2.258 -2.259 5.540 2.258 2.259 -5.540" Properties=species:S:1:pos:R:3 pbc="T T T"
Y 0.000 0.000 0.000
Sb 0.000 0.000 5.544
Sb 0.000 2.259 2.783
Pb 2.258 0.000 2.768
```



Computed, not measured: a relaxed YSb2Pb crystal at the PBE-GGA level of DFT.

Raw formation energy, eV/atom: -0.375

extended XYZ file:
```
4
Lattice="2.296 -2.859 0.000 2.296 2.859 0.000 0.000 0.000 8.930" Properties=species:S:1:pos:R:3 pbc="T T T"
Y 0.000 0.000 0.000
Sb 2.296 0.000 2.051
Sb 2.296 0.000 6.880
Pb 0.000 0.000 4.465
```



Computed, not measured: a relaxed YSbPb crystal at the PBE-GGA level of DFT.

Raw formation energy, eV/atom: -0.202
Energy above the most stable polymorph in this dataset, meV per atom: 284

extended XYZ file:
```
3
Lattice="3.620 0.000 0.000 -1.810 3.135 0.000 0.000 0.000 7.767" Properties=species:S:1:pos:R:3 pbc="T T T"
Y 0.000 0.000 0.000
Sb 0.000 2.090 5.359
Pb 1.810 1.045 2.659
```



Computed, not measured: a relaxed YSbPb crystal at the PBE-GGA level of DFT.

Raw formation energy, eV/atom: -0.263
Energy above the most stable polymorph in this dataset, meV per atom: 224

extended XYZ file:
```
3
Lattice="5.354 0.000 0.000 -2.677 4.636 0.000 0.000 0.000 3.518" Properties=species:S:1:pos:R:3 pbc="T T T"
Y 0.000 0.000 0.000
Sb 0.000 3.091 2.283
Pb 2.677 1.545 1.644
```



Computed, not measured: a relaxed Y2SbPb crystal at the PBE-GGA level of DFT.

Raw formation energy, eV/atom: -0.557
Energy above the most stable polymorph in this dataset, meV per atom: 286

extended XYZ file:
```
8
Lattice="-4.153 4.153 3.489 4.153 -4.153 3.489 4.153 4.153 -3.489" Properties=species:S:1:pos:R:3 pbc="T T T"
Y 6.229 2.024 -0.872
Y 2.024 2.076 0.872
Y -2.076 2.129 2.617
Y 2.129 2.076 4.362
Sb 0.000 0.000 0.000
Sb 0.000 4.153 1.745
Pb 4.153 0.000 1.745
Pb 0.000 0.000 3.489
```



Computed, not measured: a relaxed YSb2Pb crystal at the PBE-GGA level of DFT.

Raw formation energy, eV/atom: -0.478

extended XYZ file:
```
4
Lattice="4.370 0.000 0.000 0.000 4.360 0.000 -0.001 0.000 6.557" Properties=species:S:1:pos:R:3 pbc="T T T"
Y 0.000 0.000 0.000
Sb 2.184 2.180 6.139
Sb 4.358 0.000 3.273
Pb 2.172 2.180 2.608
```



Computed, not measured: a relaxed YSbPb3 crystal at the PBE-GGA level of DFT.

Raw formation energy, eV/atom: 0.583
Energy above the most stable polymorph in this dataset, meV per atom: 36

extended XYZ file:
```
5
Lattice="5.864 0.000 0.000 0.000 5.864 0.000 0.000 0.000 5.864" Properties=species:S:1:pos:R:3 pbc="T T T"
Y 0.000 0.000 0.000
Sb 2.932 2.932 2.932
Pb 0.000 0.000 2.932
Pb 0.000 2.932 0.000
Pb 2.932 0.000 0.000
```



Computed, not measured: a relaxed YSb2Pb crystal at the PBE-GGA level of DFT.

Raw formation energy, eV/atom: -0.431

extended XYZ file:
```
4
Lattice="3.313 -4.148 0.000 3.313 4.148 0.000 -0.017 0.000 4.134" Properties=species:S:1:pos:R:3 pbc="T T T"
Y 0.000 0.000 0.000
Sb 1.648 2.074 2.067
Sb 1.648 -2.074 2.067
Pb 3.313 0.000 0.000
```



Computed, not measured: a relaxed Y2SbPb crystal at the PBE-GGA level of DFT.

Raw formation energy, eV/atom: -0.609
Energy above the most stable polymorph in this dataset, meV per atom: 233

extended XYZ file:
```
4
Lattice="-2.539 2.539 4.288 2.539 -2.539 4.288 2.539 2.539 -4.288" Properties=species:S:1:pos:R:3 pbc="T T T"
Y 2.539 0.000 2.144
Y 0.000 2.539 2.144
Sb 0.000 0.000 0.000
Pb 0.000 0.000 4.288
```



> Number 5 is which compound?

YSb2Pb



> What is the raw formation energy in the seventh record?

-0.263 eV/atom



> What is the raw formation energy in the first record?

-0.128 eV/atom